[1]
DFT (PBE) results for crystalline NbFe2Pd at its relaxed geometry.

Summary:
Total DFT energy (no corrections): -59.7 eV/cell
Space group: I-42d, No. 122
Excess energy over the best structure of this formula in the dataset: 670.9 meV/atom
Spin magnetization: 0.00 Bohr magnetons per cell
E_form: 0.586 eV/atom

a = 9.0797 Å, b = 9.0797 Å, c = 9.0797 Å
α = 156.32°, β = 156.32°, γ = 33.74°
Last column: nearest neighbours and their distance in Å.
Sites, in units of the cell vectors:
Nb  0.0000  0.0000  0.0000  4 Pd 2.63, 4 Fe 2.65
Nb  0.7500  0.2500  0.5000  4 Pd 2.63, 4 Fe 2.65
Fe  0.1958  0.6250  0.0708  2 Fe 2.29, 2 Pd 2.46
Fe  0.3750  0.4458  0.5708  2 Fe 2.29, 2 Pd 2.46
Fe  0.5542  0.1250  0.9292  2 Fe 2.29, 2 Pd 2.46
Fe  0.8750  0.8042  0.4292  2 Fe 2.29, 2 Pd 2.46
Pd  0.2500  0.7500  0.5000  4 Fe 2.46, 4 Nb 2.63
Pd  0.5000  0.5000  0.0000  4 Fe 2.46, 4 Nb 2.63

***

[2]
DFT (PBE) results for crystalline Nb6FePd at its relaxed geometry.

Summary:
Total DFT energy (no corrections): -74.4 eV/cell
Space group: I4/mmm, No. 139
Spin magnetization: 0.85 Bohr magnetons per cell
E_form: -0.039 eV/atom

a = 7.1322 Å, b = 7.1322 Å, c = 7.1322 Å
α = 141.92°, β = 141.92°, γ = 54.95°
Last column: nearest neighbours and their distance in Å.
Sites, in units of the cell vectors:
Nb  0.1226  0.6226  0.5000  2 Fe 2.80, 2 Pd 2.80, 5 Nb 2.81-3.10
Nb  0.2474  0.2474  0.0000  8 Nb 2.81-2.85, 1 Fe 3.13
Nb  0.3774  0.8774  0.5000  2 Pd 2.80, 2 Fe 2.80, 5 Nb 2.81-3.10
Nb  0.6226  0.1226  0.5000  2 Fe 2.80, 2 Pd 2.80, 5 Nb 2.81-3.10
Nb  0.7526  0.7526  0.0000  8 Nb 2.81-2.85, 1 Fe 3.13
Nb  0.8774  0.3774  0.5000  2 Pd 2.80, 2 Fe 2.80, 5 Nb 2.81-3.10
Fe  0.0000  0.0000  0.0000  10 Nb 2.80-3.13
Pd  0.5000  0.5000  0.0000  8 Nb 2.80

***

[3]
DFT (PBE) results for crystalline NbFe2Pd at its relaxed geometry.

Summary:
Total DFT energy (no corrections): -32.5 eV/cell
Space group: P4/mmm, No. 123
Excess energy over the best structure of this formula in the dataset: 0.0 meV/atom
Spin magnetization: 2.78 Bohr magnetons per cell
E_form: -0.085 eV/atom

a = 3.8686 Å, b = 3.8686 Å, c = 3.7026 Å
α = 90.00°, β = 90.00°, γ = 90.00°
Last column: nearest neighbours and their distance in Å.
Sites, in units of the cell vectors:
Nb  0.0000  0.0000  0.0000  8 Fe 2.68, 4 Pd 2.74
Fe  0.0000  0.5000  0.5000  4 Nb 2.68, 4 Pd 2.68, 4 Fe 2.74
Fe  0.5000  0.0000  0.5000  4 Nb 2.68, 4 Pd 2.68, 4 Fe 2.74
Pd  0.5000  0.5000  0.0000  8 Fe 2.68, 4 Nb 2.74

***

[4]
DFT (PBE) results for crystalline NbFePd5 at its relaxed geometry.

Summary:
Total DFT energy (no corrections): -45.8 eV/cell
Space group: P4/mmm, No. 123
Spin magnetization: 4.06 Bohr magnetons per cell
E_form: -0.182 eV/atom

a = 3.9963 Å, b = 3.9963 Å, c = 7.0421 Å
α = 90.00°, β = 90.00°, γ = 90.00°
Last column: nearest neighbours and their distance in Å.
Sites, in units of the cell vectors:
Nb  0.0000  0.0000  0.0000  12 Pd 2.79-2.83
Fe  0.5000  0.5000  0.5000  8 Pd 2.54
Pd  0.0000  0.5000  0.2765  2 Fe 2.54, 6 Pd 2.79-2.83, 2 Nb 2.79
Pd  0.0000  0.5000  0.7235  2 Fe 2.54, 6 Pd 2.79-2.83, 2 Nb 2.79
Pd  0.5000  0.0000  0.2765  2 Fe 2.54, 6 Pd 2.79-2.83, 2 Nb 2.79
Pd  0.5000  0.0000  0.7235  2 Fe 2.54, 6 Pd 2.79-2.83, 2 Nb 2.79
Pd  0.5000  0.5000  0.0000  8 Pd 2.79, 4 Nb 2.83

***

[5]
DFT (PBE) results for crystalline Nb2FePd at its relaxed geometry.

Summary:
Total DFT energy (no corrections): -34.5 eV/cell
Space group: P4/mmm, No. 123
Excess energy over the best structure of this formula in the dataset: 0.0 meV/atom
Spin magnetization: 0.00 Bohr magnetons per cell
E_form: -0.170 eV/atom

a = 2.8557 Å, b = 2.8557 Å, c = 7.5628 Å
α = 90.00°, β = 90.00°, γ = 90.00°
Last column: nearest neighbours and their distance in Å.
Sites, in units of the cell vectors:
Nb  0.0000  0.0000  0.2235  4 Fe 2.63, 4 Nb 2.86, 4 Pd 2.91
Nb  0.0000  0.0000  0.7765  4 Fe 2.63, 4 Nb 2.86, 4 Pd 2.91
Fe  0.5000  0.5000  0.0000  8 Nb 2.63, 4 Fe 2.86
Pd  0.5000  0.5000  0.5000  4 Pd 2.86, 8 Nb 2.91

***

[6]
DFT (PBE) results for crystalline NbFe2Pd at its relaxed geometry.

Summary:
Total DFT energy (no corrections): -31.5 eV/cell
Space group: Fm-3m, No. 225
Excess energy over the best structure of this formula in the dataset: 268.8 meV/atom
Spin magnetization: 0.00 Bohr magnetons per cell
E_form: 0.184 eV/atom

a = 4.2483 Å, b = 4.2483 Å, c = 4.2483 Å
α = 60.00°, β = 60.00°, γ = 60.00°
Last column: nearest neighbours and their distance in Å.
Sites, in units of the cell vectors:
Nb  0.0000  0.0000  0.0000  8 Fe 2.60
Fe  0.2500  0.2500  0.2500  4 Nb 2.60, 4 Pd 2.60
Fe  0.7500  0.7500  0.7500  4 Nb 2.60, 4 Pd 2.60
Pd  0.5000  0.5000  0.5000  8 Fe 2.60

***

[7]
DFT (PBE) results for crystalline Nb2FePd at its relaxed geometry.

Summary:
Total DFT energy (no corrections): -32.5 eV/cell
Space group: R-3m, No. 166
Excess energy over the best structure of this formula in the dataset: 502.6 meV/atom
Spin magnetization: 1.18 Bohr magnetons per cell
E_form: 0.332 eV/atom

a = 9.6120 Å, b = 9.6120 Å, c = 9.6120 Å
α = 16.94°, β = 16.94°, γ = 16.94°
Last column: nearest neighbours and their distance in Å.
Sites, in units of the cell vectors:
Nb  0.0922  0.0922  0.0922  1 Pd 2.62, 3 Fe 2.67, 6 Nb 2.83
Nb  0.9078  0.9078  0.9078  1 Pd 2.62, 3 Fe 2.67, 6 Nb 2.83
Fe  0.5000  0.5000  0.5000  6 Nb 2.67, 6 Fe 2.83
Pd  0.0000  0.0000  0.0000  2 Nb 2.62, 6 Pd 2.83

***

[8]
DFT (PBE) results for crystalline NbFePd3 at its relaxed geometry.

Summary:
Total DFT energy (no corrections): -67.6 eV/cell
Space group: Pmmn, No. 59
Excess energy over the best structure of this formula in the dataset: 0.0 meV/atom
Spin magnetization: 4.86 Bohr magnetons per cell
E_form: 0.059 eV/atom

a = 4.4449 Å, b = 5.2971 Å, c = 7.0653 Å
α = 90.00°, β = 90.00°, γ = 90.00°
Last column: nearest neighbours and their distance in Å.
Sites, in units of the cell vectors:
Nb  0.2500  0.2500  0.2363  6 Pd 2.68-2.78, 2 Fe 2.71
Nb  0.7500  0.7500  0.7637  6 Pd 2.68-2.78, 2 Fe 2.71
Fe  0.2500  0.7500  0.3172  7 Pd 2.41-2.61
Fe  0.7500  0.2500  0.6828  7 Pd 2.41-2.61
Pd  0.2500  0.0043  0.6241  3 Fe 2.55-2.61, 5 Pd 2.60-2.83, 2 Nb 2.78
Pd  0.2500  0.4957  0.6241  3 Fe 2.55-2.61, 5 Pd 2.60-2.83, 2 Nb 2.78
Pd  0.2500  0.7500  0.9760  1 Fe 2.41, 2 Nb 2.68
Pd  0.7500  0.2500  0.0240  1 Fe 2.41, 2 Nb 2.68
Pd  0.7500  0.5043  0.3759  3 Fe 2.55-2.61, 5 Pd 2.60-2.83, 2 Nb 2.78
Pd  0.7500  0.9957  0.3759  3 Fe 2.55-2.61, 5 Pd 2.60-2.83, 2 Nb 2.78